No. 1
# LiMg3

A relaxed structure of LiMg3 (PBE, the Alexandria database).

CIF file:
```
data_LiMg3
_chemical_formula_sum 'Li1 Mg3'
_symmetry_space_group_name_H-M 'P 4/m m m'
_symmetry_Int_Tables_number 123
_symmetry_space_group_name_Hall '-P 4 2'
_cell_length_a 3.379
_cell_length_b 3.379
_cell_length_c 7.425
_cell_angle_alpha 90.00
_cell_angle_beta 90.00
_cell_angle_gamma 90.00
loop_
_atom_site_label
_atom_site_type_symbol
_atom_site_fract_x
_atom_site_fract_y
_atom_site_fract_z
Li1 Li 0.000 0.000 0.000
Mg1 Mg 0.000 0.000 0.500
Mg2 Mg 0.500 0.500 0.229
```

## Properties
Mass density (g/cm³): 1.56
Formation energy (eV per formula unit): -0.17
Crystal system: tetragonal
Calculated total energy (eV per formula unit): -6.87

---

No. 2
# AgSeBr2

A relaxed structure of AgSeBr2 (PBE, the Alexandria database).

CIF file:
```
data_AgSeBr2
_chemical_formula_sum 'Ag1 Se1 Br2'
_symmetry_space_group_name_H-M 'P 4 m m'
_symmetry_Int_Tables_number 99
_symmetry_space_group_name_Hall 'P 4 -2'
_cell_length_a 3.762
_cell_length_b 3.762
_cell_length_c 8.443
_cell_angle_alpha 90.00
_cell_angle_beta 90.00
_cell_angle_gamma 90.00
loop_
_atom_site_label
_atom_site_type_symbol
_atom_site_fract_x
_atom_site_fract_y
_atom_site_fract_z
Ag1 Ag 0.000 0.000 0.000
Se1 Se 0.500 0.500 0.092
Br1 Br 0.000 0.000 0.696
Br2 Br 0.500 0.500 0.369
```

## Properties
Mass density (g/cm³): 4.82
Crystal system: tetragonal
Polymorph energy (0 for the lowest one) (eV/atom): 0.171
Calculated total energy (eV per formula unit): -9.62
E_form (uncorrected) (meV/atom): 15

---

No. 3
# TbHo2Ni

A relaxed structure of TbHo2Ni (PBE, the Alexandria database).

CIF file:
```
data_TbHo2Ni
_chemical_formula_sum 'Tb1 Ho2 Ni1'
_symmetry_space_group_name_H-M 'P 4/m m m'
_symmetry_Int_Tables_number 123
_symmetry_space_group_name_Hall '-P 4 2'
_cell_length_a 3.422
_cell_length_b 3.422
_cell_length_c 8.659
_cell_angle_alpha 90.00
_cell_angle_beta 90.00
_cell_angle_gamma 90.00
loop_
_atom_site_label
_atom_site_type_symbol
_atom_site_fract_x
_atom_site_fract_y
_atom_site_fract_z
Tb1 Tb 0.000 0.000 0.000
Ho1 Ho 0.500 0.500 0.314
Ni1 Ni 0.000 0.000 0.500
```

## Properties
Mass density (g/cm³): 8.97
Formation energy (eV per formula unit): -0.71
Crystal system: tetragonal
Polymorph energy (0 for the lowest one) (eV/atom): 0.076
Calculated total energy (eV per formula unit): -20.27

---

No. 4
# CaTlRu

A relaxed structure of CaTlRu (PBE, the Alexandria database).

CIF file:
```
data_CaTlRu
_chemical_formula_sum 'Ca4 Tl4 Ru4'
_symmetry_space_group_name_H-M 'I m m 2'
_symmetry_Int_Tables_number 44
_symmetry_space_group_name_Hall 'I 2 -2'
_cell_length_a 4.859
_cell_length_b 7.098
_cell_length_c 8.197
_cell_angle_alpha 90.00
_cell_angle_beta 90.00
_cell_angle_gamma 90.00
loop_
_atom_site_label
_atom_site_type_symbol
_atom_site_fract_x
_atom_site_fract_y
_atom_site_fract_z
Ca1 Ca 0.000 0.000 0.000
Ca2 Ca 0.000 0.500 0.066
Tl1 Tl 0.000 0.230 0.375
Ru1 Ru 0.000 0.336 0.707
```

## Properties
Mass density (g/cm³): 8.12
Formation energy (eV per formula unit): 0.20
Crystal system: orthorhombic
Calculated total energy (eV per formula unit): -13.44

---

No. 5
# LaGePd

A relaxed structure of LaGePd (PBE, the Alexandria database).

CIF file:
```
data_LaGePd
_chemical_formula_sum 'La4 Ge4 Pd4'
_symmetry_space_group_name_H-M 'C 1 2/m 1'
_symmetry_Int_Tables_number 12
_symmetry_space_group_name_Hall '-C 2y'
_cell_length_a 10.822
_cell_length_b 4.521
_cell_length_c 7.617
_cell_angle_alpha 90.00
_cell_angle_beta 132.54
_cell_angle_gamma 90.00
loop_
_atom_site_label
_atom_site_type_symbol
_atom_site_fract_x
_atom_site_fract_y
_atom_site_fract_z
La1 La 0.239 0.000 0.221
Ge1 Ge 0.032 0.000 0.369
Pd1 Pd 0.012 0.500 0.198
```

## Properties
Mass density (g/cm³): 7.69
Formation energy (eV per formula unit): -2.66
Crystal system: monoclinic
Calculated total energy (eV per formula unit): -17.40

---

No. 6
# SiTc3

A relaxed structure of SiTc3 (PBE, the Alexandria database).

CIF file:
```
data_SiTc3
_chemical_formula_sum 'Si1 Tc3'
_symmetry_space_group_name_H-M 'P 4/m m m'
_symmetry_Int_Tables_number 123
_symmetry_space_group_name_Hall '-P 4 2'
_cell_length_a 2.920
_cell_length_b 2.920
_cell_length_c 6.471
_cell_angle_alpha 90.00
_cell_angle_beta 90.00
_cell_angle_gamma 90.00
loop_
_atom_site_label
_atom_site_type_symbol
_atom_site_fract_x
_atom_site_fract_y
_atom_site_fract_z
Si1 Si 0.000 0.000 0.000
Tc1 Tc 0.000 0.000 0.500
Tc2 Tc 0.500 0.500 0.230
```

## Properties
Mass density (g/cm³): 9.69
Crystal system: tetragonal
Polymorph energy (0 for the lowest one) (eV/atom): 0.020
Calculated total energy (eV per formula unit): -37.50
E_form (uncorrected) (meV/atom): -244

---

No. 7
# SmHgCl6

A relaxed structure of SmHgCl6 (PBE, the Alexandria database).

CIF file:
```
data_SmHgCl6
_chemical_formula_sum 'Sm1 Hg1 Cl6'
_symmetry_space_group_name_H-M 'P -1'
_symmetry_Int_Tables_number 2
_symmetry_space_group_name_Hall '-P 1'
_cell_length_a 6.545
_cell_length_b 6.638
_cell_length_c 6.966
_cell_angle_alpha 62.86
_cell_angle_beta 89.90
_cell_angle_gamma 64.41
loop_
_atom_site_label
_atom_site_type_symbol
_atom_site_fract_x
_atom_site_fract_y
_atom_site_fract_z
Sm1 Sm 0.000 0.000 0.000
Hg1 Hg 0.500 0.000 0.500
Cl1 Cl 0.068 0.515 0.250
Cl2 Cl 0.265 0.812 0.759
Cl3 Cl 0.417 0.839 0.259
```

## Properties
Mass density (g/cm³): 3.97
Crystal system: triclinic
Calculated total energy (eV per formula unit): -25.56
E_form (uncorrected) (meV/atom): -1182

---

No. 8
# KTaPb

A relaxed structure of KTaPb (PBE, the Alexandria database).

CIF file:
```
data_KTaPb
_chemical_formula_sum 'K1 Ta1 Pb1'
_symmetry_space_group_name_H-M 'P 3 m 1'
_symmetry_Int_Tables_number 156
_symmetry_space_group_name_Hall 'P 3 -2"'
_cell_length_a 3.2289
_cell_length_b 3.2289
_cell_length_c 8.7737
_cell_angle_alpha 90.00
_cell_angle_beta 90.00
_cell_angle_gamma 120.00
loop_
_atom_site_label
_atom_site_type_symbol
_atom_site_fract_x
_atom_site_fract_y
_atom_site_fract_z
K1 K 0.0000 0.0000 0.0000
Ta1 Ta 0.3333 0.6667 0.6398
Pb1 Pb 0.6667 0.3333 0.3577
```

## Properties
Mass density (g/cm³): 8.96
Formation energy (eV per formula unit): 2.13
Crystal system: trigonal
Polymorph energy (0 for the lowest one) (eV/atom): 0.038
Calculated total energy (eV per formula unit): -14.53